The following is a DFT calculation (GGA+U) of a relaxed TlFeO crystal.

The calculated total energy comes out at -15.187 eV/f.u.

a = 4.061 Å, b = 4.684 Å, c = 11.472 Å
α = 90.00°, β = 90.11°, γ = 90.00°
Space group C2/m (No. 12)
One atom of each set of equivalent atoms:
Tl1 0.247 0.000 0.135 [4 per cell]
Fe1 0.249 0.500 0.401 [4 per cell]
O1 0.249 0.000 0.403 [4 per cell]